# 1
VASP calculation (GGA-PBE) on an optimized crystal structure of ScZnGaHg.

Geometry as POSCAR:
```
ScZnGaHg
1.0
4.2682 0.0000 0.0000
0.0000 3.9747 0.0000
0.0000 0.0000 4.4516
Sc Zn Ga Hg
1 1 1 1
Cartesian
2.1341 1.9873 0.0000
0.0000 1.9873 2.2258
0.0000 0.0000 0.0000
2.1341 0.0000 2.2258
```

Values from the calculation:
Density: 8.4 Mg/m³
Energy of formation from the pure elements: -1.28 eV/f.u.

=====

# 2
VASP calculation (GGA-PBE) on an optimized crystal structure of Sc4Zn2GaHg.

Geometry as POSCAR:
```
Sc4Zn2GaHg
1.0
4.8033 0.0000 0.0000
2.4017 4.1598 0.0000
2.4017 1.3866 7.8442
Sc Zn Ga Hg
4 2 1 1
Cartesian
4.8033 2.7732 6.7902
7.2050 4.1598 3.0118
2.4017 1.3866 4.8324
4.8033 2.7732 1.0541
7.2050 4.1598 5.9025
2.4017 1.3866 1.9417
4.8033 2.7732 3.9221
0.0000 0.0000 0.0000
```

Values from the calculation:
Density: 6.2 Mg/m³
Energy of formation from the pure elements: -3.61 eV/f.u.

=====

# 3
VASP calculation (GGA-PBE) on an optimized crystal structure of ZrScGaHg.

Geometry as POSCAR:
```
ZrScGaHg
1.0
4.8781 0.0000 0.0000
2.4391 4.2246 0.0000
2.4391 1.4082 3.9830
Sc Ga Hg Zr
1 1 1 1
Cartesian
4.8781 2.8164 1.9915
2.4391 1.4082 0.9957
7.3172 4.2246 2.9872
0.0000 0.0000 0.0000
```

Values from the calculation:
Density: 8.2 Mg/m³
Energy of formation from the pure elements: -1.47 eV/f.u.

=====

# 4
VASP calculation (GGA-PBE) on an optimized crystal structure of GaHgSe.

Geometry as POSCAR:
```
GaHgSe
1.0
-2.9275 0.6461 -2.4341
1.1436 -3.6159 0.7281
-3.6304 -0.2843 4.2907
Ga Hg Se
1 1 1
Cartesian
-2.9083 -0.8793 0.2011
-0.1030 -0.0081 0.1217
-2.4030 -2.3667 2.2618
```

Values from the calculation:
DFT total energy: -7.54 eV per cell
Density: 8.0 Mg/m³

=====

# 5
VASP calculation (GGA-PBE) on an optimized crystal structure of Ga2HgSe.

Geometry as POSCAR:
```
Ga2HgSe
1.0
3.8443 0.0000 0.0000
1.9221 3.3292 0.0000
1.9221 1.1097 7.1736
Ga Hg Se
2 1 1
Cartesian
5.7664 3.3292 5.5224
1.9221 1.1097 1.6511
3.8443 2.2195 3.5868
0.0000 0.0000 0.0000
```

Values from the calculation:
DFT total energy: -10.57 eV per cell
Density: 7.6 Mg/m³

=====

# 6
VASP calculation (GGA-PBE) on an optimized crystal structure of Ga12Hg5Se3.

Geometry as POSCAR:
```
Ga12Hg5Se3
1.0
14.0716 0.0000 0.0000
-4.6905 13.2668 0.0000
-4.6905 -6.6334 11.4894
Se Hg Ga
12 20 48
Cartesian
8.2084 4.1459 1.4362
8.2084 9.1209 1.4362
-1.1726 5.8042 7.1809
1.1726 -0.8292 4.3085
10.5537 0.0000 2.8723
1.1726 6.6334 2.8723
3.5179 0.0000 8.6170
-5.8632 6.6334 8.6170
3.5179 7.4626 7.1809
5.8632 0.8292 4.3085
-3.5179 -2.4875 10.0532
-3.5179 2.4875 10.0532
-1.1726 3.3167 2.8723
-2.3453 6.6334 0.0000
0.0000 0.0000 0.0000
3.5179 2.4875 1.4362
4.6905 -3.3167 5.7447
4.6905 6.6334 0.0000
-3.5179 7.4626 4.3085
5.8632 -4.1459 10.0532
5.8632 5.8042 4.3085
1.1726 -3.3167 8.6170
3.5179 9.9501 2.8723
2.3453 3.3167 5.7447
7.0358 0.0000 0.0000
-2.3453 -3.3167 5.7447
-1.1726 0.8292 7.1809
-1.1726 10.7793 1.4362
-4.6905 3.3167 5.7447
8.2084 -0.8292 7.1809
1.1726 4.1459 10.0532
5.8632 3.3167 8.6170
9.2187 1.5958 0.8018
0.1623 4.8090 4.7636
10.2063 2.7844 3.1008
6.2105 2.0236 1.7829
1.5684 5.3061 7.5868
9.5917 6.7027 1.8421
-0.8252 7.3943 4.8837
-3.8653 11.2432 1.7829
0.7769 7.9607 7.5868
6.8251 6.5641 1.8421
7.1981 3.4202 3.9618
7.1981 11.6710 0.8018
-3.9136 5.9067 6.5465
2.5559 5.0034 0.8610
-4.8529 9.8466 3.9618
2.5076 -1.8244 6.7258
-0.7769 0.6006 2.6439
2.5559 8.1940 0.9811
6.2105 10.4824 3.1008
-0.2107 5.0728 0.9811
-3.1222 7.2340 8.8455
3.1705 5.8725 4.8837
6.2589 7.3601 6.5465
4.9012 -1.6300 10.6284
1.5200 0.7609 6.6057
-1.5684 -0.7267 4.9429
-0.2107 8.2634 0.8610
-1.5200 -3.8490 8.3886
7.8127 -0.6006 2.6439
4.9012 1.5606 10.5083
2.1346 -1.5606 10.5083
2.1829 8.4578 4.7636
5.4674 6.0328 8.8455
9.5434 -3.2132 7.5276
8.6041 0.7267 4.9429
-2.5076 -5.0376 10.6876
2.1346 1.6300 10.6284
3.9136 -1.3273 3.9026
-2.1346 0.0693 9.6473
-2.5076 3.2132 7.5276
8.5558 -4.6098 9.7065
5.5158 -0.7609 6.6057
-1.5200 4.6098 9.7065
-4.9012 -0.0693 9.6473
3.1222 1.3273 3.9026
-5.5158 3.8490 8.3886
4.5282 1.8244 6.7258
-4.5282 5.0376 10.6876
```

Values from the calculation:
DFT total energy: -186.45 eV per cell
Density: 6.4 Mg/m³

=====

Copy entry 1 word for word.
VASP calculation (GGA-PBE) on an optimized crystal structure of ScZnGaHg.

Geometry as POSCAR:
```
ScZnGaHg
1.0
4.2682 0.0000 0.0000
0.0000 3.9747 0.0000
0.0000 0.0000 4.4516
Sc Zn Ga Hg
1 1 1 1
Cartesian
2.1341 1.9873 0.0000
0.0000 1.9873 2.2258
0.0000 0.0000 0.0000
2.1341 0.0000 2.2258
```

Values from the calculation:
Density: 8.4 Mg/m³
Energy of formation from the pure elements: -1.28 eV/f.u.

=====

What did the second record say?
VASP calculation (GGA-PBE) on an optimized crystal structure of Sc4Zn2GaHg.

Geometry as POSCAR:
```
Sc4Zn2GaHg
1.0
4.8033 0.0000 0.0000
2.4017 4.1598 0.0000
2.4017 1.3866 7.8442
Sc Zn Ga Hg
4 2 1 1
Cartesian
4.8033 2.7732 6.7902
7.2050 4.1598 3.0118
2.4017 1.3866 4.8324
4.8033 2.7732 1.0541
7.2050 4.1598 5.9025
2.4017 1.3866 1.9417
4.8033 2.7732 3.9221
0.0000 0.0000 0.0000
```

Values from the calculation:
Density: 6.2 Mg/m³
Energy of formation from the pure elements: -3.61 eV/f.u.

=====

Please write out number 1 again, unchanged.
VASP calculation (GGA-PBE) on an optimized crystal structure of ScZnGaHg.

Geometry as POSCAR:
```
ScZnGaHg
1.0
4.2682 0.0000 0.0000
0.0000 3.9747 0.0000
0.0000 0.0000 4.4516
Sc Zn Ga Hg
1 1 1 1
Cartesian
2.1341 1.9873 0.0000
0.0000 1.9873 2.2258
0.0000 0.0000 0.0000
2.1341 0.0000 2.2258
```

Values from the calculation:
Density: 8.4 Mg/m³
Energy of formation from the pure elements: -1.28 eV/f.u.